Density functional theory data (PBE-GGA) for GeMoPd3 after structural relaxation.

Summary:
M_tot: 0.000 μB per atom
Energy of formation: 531 kJ/mol of formula units
Excess energy over the best structure of this formula in the dataset: 426 meV/atom

Cell lengths 4.808, 4.808, 4.808 Å; angles 90.00, 90.00, 90.00 degrees
Positions (direct):
Mo: 0.000 0.000 0.000
Pd: 0.500 0.000 0.000
Pd: 0.000 0.500 0.000
Pd: 0.000 0.000 0.500
Ge: 0.500 0.500 0.500